Record 1
First-principles (PBE-GGA) data for an optimized crystal structure of Pr7Dy12Pb, as listed in the Alexandria database.

a b c (Å): 8.8120 8.8120 8.8120
angles (deg): 89.06 89.06 89.06
Last column: nearest neighbours and their distance in Å.
Fractional positions:
Pr  0.0000  0.0000  0.0000  6 Pr 3.60, 6 Dy 3.65
Pr  0.1239  0.7143  0.2700  6 Dy 3.29-3.63, 1 Pr 3.60
Pr  0.2700  0.1239  0.7143  6 Dy 3.29-3.63, 1 Pr 3.60
Pr  0.2857  0.7300  0.8761  6 Dy 3.29-3.63, 1 Pr 3.60
Pr  0.7143  0.2700  0.1239  6 Dy 3.29-3.63, 1 Pr 3.60
Pr  0.7300  0.8761  0.2857  6 Dy 3.29-3.63, 1 Pr 3.60
Pr  0.8761  0.2857  0.7300  6 Dy 3.29-3.63, 1 Pr 3.60
Dy  0.0383  0.1579  0.3781  6 Dy 3.52-3.86, 5 Pr 3.58-3.82
Dy  0.1579  0.3781  0.0383  6 Dy 3.52-3.86, 5 Pr 3.58-3.82
Dy  0.1627  0.4942  0.6137  1 Pb 3.12, 3 Pr 3.29-3.49
Dy  0.3781  0.0383  0.1579  6 Dy 3.52-3.86, 5 Pr 3.58-3.82
Dy  0.3863  0.8373  0.5058  1 Pb 3.12, 3 Pr 3.29-3.49
Dy  0.4942  0.6137  0.1627  1 Pb 3.12, 3 Pr 3.29-3.49
Dy  0.5058  0.3863  0.8373  1 Pb 3.12, 3 Pr 3.29-3.49
Dy  0.6137  0.1627  0.4942  1 Pb 3.12, 3 Pr 3.29-3.49
Dy  0.6219  0.9617  0.8421  6 Dy 3.52-3.86, 5 Pr 3.58-3.82
Dy  0.8373  0.5058  0.3863  1 Pb 3.12, 3 Pr 3.29-3.49
Dy  0.8421  0.6219  0.9617  6 Dy 3.52-3.86, 5 Pr 3.58-3.82
Dy  0.9617  0.8421  0.6219  6 Dy 3.52-3.86, 5 Pr 3.58-3.82
Pb  0.5000  0.5000  0.5000  6 Dy 3.12

Values from the calculation:
space-group type = R-3 (148)
E_form = 159 meV per atom

***

Record 2
First-principles (PBE-GGA) data for an optimized crystal structure of PrDy2Pb, as listed in the Alexandria database.

a b c (Å): 11.3219 11.3219 11.3219
angles (deg): 18.44 18.44 18.44
Last column: nearest neighbours and their distance in Å.
Fractional positions:
Pr  0.0000  0.0000  0.0000  6 Dy 3.62-3.63, 6 Pr 3.63
Dy  0.2446  0.2446  0.2446  3 Pb 3.34, 3 Pr 3.63, 6 Dy 3.63
Dy  0.4217  0.4217  0.4217  3 Pb 3.35, 3 Pr 3.62, 6 Dy 3.63
Pb  0.8334  0.8334  0.8334  6 Dy 3.34-3.35, 6 Pb 3.63

Values from the calculation:
space-group type = R3m (160)
energy relative to the lowest polymorph listed for this composition = 161 meV per atom
E_form = -148 meV per atom

***

Record 3
First-principles (PBE-GGA) data for an optimized crystal structure of Pr2DyPb3, as listed in the Alexandria database.

a b c (Å): 8.7969 8.7969 5.9164
angles (deg): 104.07 104.07 113.55
Last column: nearest neighbours and their distance in Å.
Fractional positions:
Pr  0.0820  0.9180  0.7500  6 Pb 3.29-3.44
Pr  0.2470  0.7530  0.2500  6 Pb 3.32-3.34
Pr  0.7530  0.2470  0.7500  6 Pb 3.32-3.34
Pr  0.9180  0.0820  0.2500  6 Pb 3.29-3.44
Dy  0.4152  0.5848  0.7500  6 Pb 3.24-3.28
Dy  0.5848  0.4152  0.2500  6 Pb 3.24-3.28
Pb  0.0000  0.5000  0.5000  2 Dy 3.28, 4 Pr 3.31-3.34
Pb  0.1774  0.3387  0.9927  2 Dy 3.24-3.25, 4 Pr 3.29-3.44
Pb  0.3387  0.1774  0.4927  2 Dy 3.24-3.25, 4 Pr 3.29-3.44
Pb  0.5000  0.0000  0.0000  2 Dy 3.28, 4 Pr 3.31-3.34
Pb  0.6613  0.8226  0.5073  2 Dy 3.24-3.25, 4 Pr 3.29-3.44
Pb  0.8226  0.6613  0.0073  2 Dy 3.24-3.25, 4 Pr 3.29-3.44

Values from the calculation:
space-group type = C2/c (15)
energy relative to the lowest polymorph listed for this composition = 23 meV per atom
E_form = -472 meV per atom

***

no.,density of states at the Fermi level (states/eV per atom)
1,1.71
2,0.86
3,0.87